# NdScAg (PBE, relaxed)
# Formation enthalpy at 0 K (eV/atom): -0.038
# Final energy (eV/atom): -4.689
# Calculated volume (Å³/atom): 26.15
# M_tot (μB per formula unit): 0.00
data_NdScAg
_symmetry_space_group_name_H-M 'P 3 m 1'
_symmetry_Int_Tables_number 156
_cell_length_a 4.9149
_cell_length_b 4.9149
_cell_length_c 3.7503
_cell_angle_alpha 90.00
_cell_angle_beta 90.00
_cell_angle_gamma 120.00
loop_
_symmetry_equiv_pos_as_xyz
'x,y,z'
'-y,x-y,z'
'-x+y,-x,z'
'-y,-x,z'
'-x+y,y,z'
'x,x-y,z'
loop_
_atom_site_label
_atom_site_type_symbol
_atom_site_fract_x
_atom_site_fract_y
_atom_site_fract_z
_atom_site_occupancy
Nd1 Nd 0.0000 0.0000 0.0000 1
Sc1 Sc 0.3333 0.6667 0.4985 1
Ag1 Ag 0.6667 0.3333 0.5066 1

# NdScAg4 (PBE, relaxed)
# Formation enthalpy at 0 K (eV/atom): -0.176
# Final energy (eV/atom): -3.927
# Calculated volume (Å³/atom): 21.61
# M_tot (μB per formula unit): 0.00
data_NdScAg4
_symmetry_space_group_name_H-M 'P 1 2/m 1'
_symmetry_Int_Tables_number 10
_cell_length_a 3.225
_cell_length_b 8.296
_cell_length_c 4.845
_cell_angle_alpha 90.00
_cell_angle_beta 90.11
_cell_angle_gamma 90.00
loop_
_symmetry_equiv_pos_as_xyz
'x,y,z'
'-x,-y,-z'
'-x,y,-z'
'x,-y,z'
loop_
_atom_site_label
_atom_site_type_symbol
_atom_site_fract_x
_atom_site_fract_y
_atom_site_fract_z
_atom_site_occupancy
Nd1 Nd 0.000 0.000 0.000 1
Sc1 Sc 0.000 0.500 0.500 1
Ag1 Ag 0.500 0.176 0.500 1
Ag2 Ag 0.500 0.339 0.000 1

# Nd3ScAg4 (PBE, relaxed)
# Formation enthalpy at 0 K (eV/atom): -0.248
# Final energy (eV/atom): -4.253
# Calculated volume (Å³/atom): 24.84
# M_tot (μB per formula unit): 0.00
data_Nd3ScAg4
_symmetry_space_group_name_H-M 'P 4/m m m'
_symmetry_Int_Tables_number 123
_symmetry_space_group_name_Hall '-P 4 2'
_cell_length_a 3.640
_cell_length_b 3.640
_cell_length_c 14.998
_cell_angle_alpha 90.00
_cell_angle_beta 90.00
_cell_angle_gamma 90.00
loop_
_atom_site_label
_atom_site_type_symbol
_atom_site_fract_x
_atom_site_fract_y
_atom_site_fract_z
_atom_site_occupancy
Nd1 Nd 0.000 0.000 0.000 1
Nd2 Nd 0.000 0.000 0.260 1
Sc1 Sc 0.000 0.000 0.500 1
Ag1 Ag 0.500 0.500 0.129 1
Ag2 Ag 0.500 0.500 0.397 1